1.
# PrSF

Crystalline PrSF at its relaxed geometry (GGA-PBEsol, Alexandria).

a b c (Å): 3.9345 3.9345 6.9077
angles (deg): 90.00 90.00 90.00
Closest atoms and distances in Å follow each position.
Sites, in units of the cell vectors:
1 Pr 0.2500 0.2500 0.2288  4 F 2.52
2 Pr 0.7500 0.7500 0.7712  4 F 2.52
3 S 0.2500 0.2500 0.6473  5 Pr 2.89-2.91, 4 F 3.13
4 S 0.7500 0.7500 0.3527  5 Pr 2.89-2.91, 4 F 3.13
5 F 0.2500 0.7500 0.0000  4 Pr 2.52, 4 F 2.78
6 F 0.7500 0.2500 0.0000  4 Pr 2.52, 4 F 2.78

Summary:
E_form (uncorrected) in meV/atom: -3059

2.
# CeP5

Crystalline CeP5 at its relaxed geometry (GGA-PBEsol, Alexandria).

a b c (Å): 4.4597 9.4272 5.4995
angles (deg): 90.00 110.81 90.00
Closest atoms and distances in Å follow each position.
Sites, in units of the cell vectors:
1 Ce 0.1102 0.2500 0.4174  10 P 2.78-3.10
2 Ce 0.8898 0.7500 0.5826  10 P 2.78-3.10
3 P 0.2419 0.2500 0.9513  2 P 2.22
4 P 0.2833 0.5602 0.3847  2 P 2.21-2.22
5 P 0.2833 0.9398 0.3847  2 P 2.21-2.22
6 P 0.3648 0.5974 0.0138  3 P 2.22-2.23
7 P 0.3648 0.9026 0.0138  3 P 2.22-2.23
8 P 0.6352 0.0974 0.9862  3 P 2.22-2.23
9 P 0.6352 0.4026 0.9862  3 P 2.22-2.23
10 P 0.7167 0.0602 0.6153  2 P 2.21-2.22
11 P 0.7167 0.4398 0.6153  2 P 2.21-2.22
12 P 0.7581 0.7500 0.0487  2 P 2.22

Summary:
E_form in eV per atom: -0.53

3.
# ZrCdIn2

Crystalline ZrCdIn2 at its relaxed geometry (GGA-PBEsol, Alexandria).

a b c (Å): 5.3851 5.3851 3.1536
angles (deg): 90.00 90.00 109.39
Closest atoms and distances in Å follow each position.
Sites, in units of the cell vectors:
1 Zr 0.0000 0.0000 0.0000  2 Cd 3.11, 8 In 3.12, 2 Zr 3.15
2 Cd 0.5000 0.5000 0.0000  2 Zr 3.11, 8 In 3.12, 2 Cd 3.15
3 In 0.0000 0.5000 0.5000  4 In 3.11-3.15, 4 Cd 3.12, 4 Zr 3.12
4 In 0.5000 0.0000 0.5000  4 In 3.11-3.15, 4 Zr 3.12, 4 Cd 3.12

Summary:
E_form in eV per atom: -0.21

4.
# SrCdCl2

Crystalline SrCdCl2 at its relaxed geometry (GGA-PBEsol, Alexandria).

a b c (Å): 4.0341 4.0341 6.3004
angles (deg): 90.00 90.00 90.00
Closest atoms and distances in Å follow each position.
Sites, in units of the cell vectors:
1 Sr 0.0000 0.0000 0.0000  5 Cl 2.94-3.05
2 Cd 0.5000 0.5000 0.3668  5 Cl 2.92-3.04
3 Cl 0.0000 0.0000 0.5339  1 Sr 2.94, 4 Cd 3.04
4 Cl 0.5000 0.5000 0.8297  1 Cd 2.92, 4 Sr 3.05

Summary:
E_form (uncorrected) in meV/atom: -1371
E above lowest polymorph in eV/atom: 0.097

5.
# PtRh2

Crystalline PtRh2 at its relaxed geometry (GGA-PBEsol, Alexandria).

a b c (Å): 5.2139 5.2139 6.4434
angles (deg): 105.38 105.38 29.98
Closest atoms and distances in Å follow each position.
Sites, in units of the cell vectors:
1 Pt 0.0275 0.0275 0.3033  9 Rh 2.69-2.74, 3 Pt 2.70-2.74
2 Pt 0.9725 0.9725 0.6967  9 Rh 2.69-2.74, 3 Pt 2.70-2.74
3 Rh 0.3024 0.3024 0.3590  7 Rh 2.65-2.71, 5 Pt 2.69-2.74
4 Rh 0.3570 0.3570 0.9707  8 Rh 2.65-2.80, 4 Pt 2.71-2.72
5 Rh 0.6430 0.6430 0.0293  8 Rh 2.65-2.80, 4 Pt 2.71-2.72
6 Rh 0.6976 0.6976 0.6410  7 Rh 2.65-2.71, 5 Pt 2.69-2.74

Summary:
E_form in eV per atom: 0.05
E above lowest polymorph in eV/atom: 0.065

6.
# Y2BePt

Crystalline Y2BePt at its relaxed geometry (GGA-PBEsol, Alexandria).

a b c (Å): 4.1518 5.4778 5.4778
angles (deg): 42.07 90.00 90.00
Closest atoms and distances in Å follow each position.
Sites, in units of the cell vectors:
1 Y 0.0000 0.0000 0.0000  3 Be 2.85-3.05, 4 Pt 2.98
2 Y 0.5000 0.2851 0.2851  3 Pt 2.87-3.02, 4 Be 2.98
3 Be 0.0000 0.7014 0.7014  2 Pt 2.41
4 Pt 0.5000 0.5807 0.5807  2 Be 2.41

Summary:
E_form in eV per atom: -0.65

Table of E_tot (eV per formula unit), in record order: -20.67 -38.75 -17.08 -12.54 -23.10 -27.19